Computed, not measured: an optimized crystal structure of ScMnTlF2 at the GGA+U level of DFT.

Structure (extended XYZ):
```
5
Lattice="-2.176 0.963 3.380 3.722 -3.616 3.427 2.496 3.222 0.689" Properties=species:S:1:pos:R:3 pbc="T T T"
Tl 1.861 -1.808 1.713
Sc 2.021 0.284 3.748
Mn 0.000 0.000 0.000
F -1.088 0.481 1.690
F 1.248 1.611 0.345
```

density of states at the Fermi level = 3.7 states/eV per cell
electronic total energy = -26.0 eV/cell
M_tot = 3.58 μB/f.u.
V = 21.3 A^3/atom